{
  "formula": "Dy2Tm3In",
  "functional": "PBE",
  "state": "optimized geometry",
  "delta_e_f_ev_per_fu": -0.96,
  "n_ef_per_ev_atom": 1.020,
  "relative_energy_mev_per_atom": 0,
  "spacegroup": "Cmmm, No. 65",
  "final_energy_ev_per_atom": -4.387,
  "cell": [[-3.609, 1.770, -2.694], [-0.969, -4.430, -1.613], [-4.246, 1.187, 6.470]],
  "species": ["In", "Dy", "Dy", "Tm", "Tm", "Tm"],
  "fractional_positions": [[0.000, 0.000, 0.000], [0.000, 0.662, 0.324], [0.000, 0.338, 0.676], [0.500, 0.500, 0.000], [0.500, 0.832, 0.664], [0.500, 0.168, 0.336]]
}